The following is a PBE with a Hubbard U calculation of crystalline Mn2NiO4 at its relaxed geometry, from Alexandria.

Unit cell a=6.0487 b=6.0487 c=6.0487 alpha=120.51 beta=120.34 gamma=89.26
With the nearest neighbours (Å) after each atom.
Atoms (fractional coordinates):
Mn 0.0000 0.0000 0.5000  6 O 1.94-2.00
Mn 0.0000 0.5000 0.0000  6 O 1.94-2.00
Mn 0.3651 0.1151 0.2500  4 O 2.01-2.07
Mn 0.6349 0.8849 0.7500  4 O 2.01-2.07
Ni 0.0000 0.5000 0.5000  6 O 2.06-2.14
Ni 0.5000 0.5000 0.0000  6 O 2.06-2.14
O 0.2161 0.7472 0.4689  3 Mn 2.00-2.07, 1 Ni 2.14
O 0.2216 0.2528 0.9689  3 Mn 2.00-2.07, 1 Ni 2.14
O 0.2251 0.2439 0.5188  2 Mn 1.94-2.01, 2 Ni 2.06
O 0.2251 0.7063 0.9812  2 Mn 1.94-2.01, 2 Ni 2.06
O 0.7749 0.2937 0.0188  2 Mn 1.94-2.01, 2 Ni 2.06
O 0.7749 0.7561 0.4812  2 Mn 1.94-2.01, 2 Ni 2.06
O 0.7784 0.7472 0.0311  3 Mn 2.00-2.07, 1 Ni 2.14
O 0.7839 0.2528 0.5311  3 Mn 2.00-2.07, 1 Ni 2.14

Properties
Energy above the lowest structure with this stoichiometry   0.000 eV/f.u.
E   -6.76 eV per atom